1.
Compound: RbLaCuO3
Source: Alexandria via LeMat-Bulk
Functional: GGA-PBE
Structure: optimized geometry

Structure (POSCAR):
```
RbLaCuO3
1.0
7.7553 0.0000 0.0000
0.0000 3.8802 0.0000
-2.7877 0.0000 8.5172
Rb La Cu O
2 2 2 6
direct
0.1845 0.2500 0.1847
0.8155 0.7500 0.8153
0.3302 0.7500 0.8515
0.6698 0.2500 0.1485
0.0410 0.2500 0.6224
0.9590 0.7500 0.3776
0.0499 0.7500 0.6034
0.1307 0.2500 0.8482
0.4615 0.7500 0.1223
0.5385 0.2500 0.8777
0.8693 0.7500 0.1518
0.9501 0.2500 0.3966
```

Calculated values
Formation energy from raw total energies: -1.94 eV per atom
E: -6.080 eV/atom
Crystal system: monoclinic

=====

2.
Compound: RbLaCuO2
Source: Alexandria via LeMat-Bulk
Functional: GGA-PBE
Structure: optimized geometry

Structure (POSCAR):
```
RbLaCuO2
1.0
7.3839 0.0000 0.0000
0.0000 5.9058 0.0000
-2.6226 0.0000 6.8103
Rb La Cu O
2 2 2 4
direct
0.0000 0.1697 0.2500
0.0000 0.8303 0.7500
0.5000 0.4889 0.7500
0.5000 0.5111 0.2500
0.5000 0.0000 0.0000
0.5000 0.0000 0.5000
0.3937 0.2841 0.4543
0.3937 0.7159 0.9543
0.6063 0.2841 0.0457
0.6063 0.7159 0.5457
```

Calculated values
Formation energy from raw total energies: -1.69 eV per atom
E: -5.676 eV/atom
Crystal system: monoclinic

=====

3.
Compound: LaCuRe2O
Source: Alexandria via LeMat-Bulk
Functional: GGA-PBE
Structure: optimized geometry

Structure (POSCAR):
```
LaCuRe2O
1.0
4.1181 0.0000 0.0000
0.0000 4.1181 0.0000
0.0000 0.0000 4.8418
La Cu Re O
1 1 2 1
direct
0.0000 0.0000 0.0000
0.5000 0.5000 0.0000
0.0000 0.5000 0.5000
0.5000 0.0000 0.5000
0.0000 0.0000 0.5000
```

Calculated values
Formation energy from raw total energies: 0.11 eV per atom
E: -7.670 eV/atom
Crystal system: tetragonal

=====

4.
Compound: La2CuRhO6
Source: Alexandria via LeMat-Bulk
Functional: GGA-PBE
Structure: optimized geometry

Structure (POSCAR):
```
La2CuRhO6
1.0
5.5693 0.0000 0.0000
0.0000 5.8263 0.0000
-5.5709 0.0000 7.8272
La Cu Rh O
4 2 2 12
direct
0.2358 0.0636 0.2505
0.2358 0.4364 0.7505
0.7642 0.5636 0.2495
0.7642 0.9364 0.7495
0.5000 0.0000 0.0000
0.5000 0.5000 0.5000
0.0000 0.0000 0.5000
0.0000 0.5000 0.0000
0.1413 0.2074 0.9501
0.1413 0.2926 0.4501
0.2512 0.6953 0.9520
0.2512 0.8047 0.4520
0.3458 0.0255 0.7517
0.3458 0.4745 0.2517
0.6542 0.5255 0.7483
0.6542 0.9745 0.2483
0.7488 0.1953 0.5480
0.7488 0.3047 0.0480
0.8587 0.7074 0.5499
0.8587 0.7926 0.0499
```

Calculated values
Formation energy from raw total energies: -2.07 eV per atom
E: -7.180 eV/atom
Crystal system: monoclinic

=====

In the order shown, the computed total moment values come out to 0.0, 0.0, 0.0, 2.1 μB per formula unit.